First-principles (PBE) data for PmBeH8Rh2 after structural relaxation, as listed in Alexandria. Values from VASP.

Cell and atoms, written as Quantum ESPRESSO input:
```
&SYSTEM
  ibrav = 0, nat = 12, ntyp = 4
/
ATOMIC_SPECIES
Pm 145.00 Pm.upf
Be 9.01 Be.upf
H 1.01 H.upf
Rh 102.91 Rh.upf
ATOMIC_POSITIONS angstrom
Pm 0.0000 0.0000 0.0000
Be -0.4357 0.0000 3.2372
H 1.1238 0.0000 2.6015
H 3.1133 0.9856 1.9431
H 3.3685 0.9856 4.5312
H 1.5039 0.0000 5.7741
H 4.9779 0.0000 0.7003
H 3.1133 -0.9856 1.9431
H 3.3685 -0.9856 4.5312
H 5.3580 0.0000 3.8729
Rh 2.0986 0.0000 4.0988
Rh 4.3833 0.0000 2.3756
CELL_PARAMETERS angstrom
3.6766 -2.0685 0.0000
3.6766 2.0685 0.0000
-0.8714 0.0000 6.4744
```

Properties
Its final energy is -4.319 eV per atom. Its total moment is 0.000 μB/cell. Its symmetry is C2/m.

---

First-principles (PBE) data for PrBeH5 after structural relaxation, as listed in Alexandria. Values from VASP.

Cell and atoms, written as Quantum ESPRESSO input:
```
&SYSTEM
  ibrav = 0, nat = 7, ntyp = 3
/
ATOMIC_SPECIES
Pr 140.91 Pr.upf
Be 9.01 Be.upf
H 1.01 H.upf
ATOMIC_POSITIONS angstrom
Pr 0.0000 0.0000 0.0000
Be 0.0000 0.0000 3.2443
H 1.8498 1.2196 -1.0425
H 1.8498 1.2196 1.0425
H 0.0000 2.3498 0.0000
H 0.0000 1.1302 2.2017
H 0.0000 1.1302 4.2868
CELL_PARAMETERS angstrom
-1.8498 2.3498 3.2443
1.8498 -2.3498 3.2443
1.8498 2.3498 -3.2443
```

Properties
Its final energy is -3.904 eV per atom. Its total moment is 0.000 μB/cell. Its symmetry is Immm.

---

First-principles (PBE) data for PrBe2H6 after structural relaxation, as listed in Alexandria. Values from VASP.

Cell and atoms, written as Quantum ESPRESSO input:
```
&SYSTEM
  ibrav = 0, nat = 9, ntyp = 3
/
ATOMIC_SPECIES
Pr 140.91 Pr.upf
Be 9.01 Be.upf
H 1.01 H.upf
ATOMIC_POSITIONS angstrom
Pr 0.0000 0.0000 0.0000
Be 0.0062 1.6399 2.6294
Be 2.4018 1.6399 2.0269
H -1.2650 1.6399 3.4326
H 0.0030 0.0000 2.4333
H 1.1251 1.6399 1.2295
H 1.2829 1.6399 3.4269
H 2.4050 0.0000 2.2231
H 3.6730 1.6399 1.2238
CELL_PARAMETERS angstrom
4.8021 0.0000 0.0000
0.0000 3.2797 0.0000
-2.3940 0.0000 4.6564
```

Properties
The energy above the most stable polymorph in this dataset is 0.79 eV per formula unit. Its final energy is -3.707 eV per atom. Its total moment is 0.000 μB/cell. Its symmetry is P2/m.

---

First-principles (PBE) data for Pr2BeH after structural relaxation, as listed in Alexandria. Values from VASP.

Cell and atoms, written as Quantum ESPRESSO input:
```
&SYSTEM
  ibrav = 0, nat = 4, ntyp = 3
/
ATOMIC_SPECIES
Pr 140.91 Pr.upf
Be 9.01 Be.upf
H 1.01 H.upf
ATOMIC_POSITIONS angstrom
Pr 0.0000 0.0000 2.9773
Pr 0.0000 0.0000 24.4490
Be 0.0000 0.0000 0.0000
H 0.0000 0.0000 13.7131
CELL_PARAMETERS angstrom
1.7027 0.9830 9.1421
-1.7027 0.9830 9.1421
0.0000 -1.9661 9.1421
```

Properties
Its final energy is -3.624 eV per atom. Its total moment is 0.000 μB/cell. Its symmetry is R-3m.

---

First-principles (PBE) data for PrBe2H7 after structural relaxation, as listed in Alexandria. Values from VASP.

Cell and atoms, written as Quantum ESPRESSO input:
```
&SYSTEM
  ibrav = 0, nat = 10, ntyp = 3
/
ATOMIC_SPECIES
Pr 140.91 Pr.upf
Be 9.01 Be.upf
H 1.01 H.upf
ATOMIC_POSITIONS angstrom
Pr 0.0000 0.0000 0.0000
Be 2.6166 1.5900 1.6772
Be 2.6166 -1.5900 1.6772
H 0.9900 1.2109 1.6772
H 2.6166 1.7784 0.0000
H 0.9900 -1.2109 1.6772
H 2.6166 0.0000 1.6772
H 4.2431 1.2109 1.6772
H 2.6166 -1.7784 0.0000
H 4.2431 -1.2109 1.6772
CELL_PARAMETERS angstrom
2.6166 -4.2564 0.0000
2.6166 4.2564 0.0000
0.0000 0.0000 3.3545
```

Properties
Its final energy is -3.611 eV per atom. Its total moment is 0.000 μB/cell. Its symmetry is Cmmm.

---

First-principles (PBE) data for PrBe2H6 after structural relaxation, as listed in Alexandria. Values from VASP.

Cell and atoms, written as Quantum ESPRESSO input:
```
&SYSTEM
  ibrav = 0, nat = 9, ntyp = 3
/
ATOMIC_SPECIES
Pr 140.91 Pr.upf
Be 9.01 Be.upf
H 1.01 H.upf
ATOMIC_POSITIONS angstrom
Pr 0.0000 0.0000 0.0000
Be 2.4447 0.0000 1.7264
Be 4.0925 0.0000 2.9159
H 1.9075 1.1459 1.1235
H 2.6674 0.0000 3.2561
H 4.6297 1.1459 3.5188
H 1.9075 -1.1459 1.1235
H 3.8698 0.0000 1.3862
H 4.6297 -1.1459 3.5188
CELL_PARAMETERS angstrom
3.7923 -2.2190 0.0000
3.7923 2.2190 0.0000
-1.0473 0.0000 4.6423
```

Properties
The energy above the most stable polymorph in this dataset is 0.00 eV per formula unit. Its final energy is -3.794 eV per atom. Its total moment is 0.000 μB/cell. Its symmetry is C2/m.

---

First-principles (PBE) data for Be2H6Pt after structural relaxation, as listed in Alexandria. Values from VASP.

Cell and atoms, written as Quantum ESPRESSO input:
```
&SYSTEM
  ibrav = 0, nat = 9, ntyp = 3
/
ATOMIC_SPECIES
Be 9.01 Be.upf
H 1.01 H.upf
Pt 195.08 Pt.upf
ATOMIC_POSITIONS angstrom
Be 1.4958 1.4958 1.4958
Be 4.4873 4.4873 4.4873
H 2.9915 2.9915 1.2124
H 2.9915 1.2124 2.9915
H 4.7707 2.9915 2.9915
H 1.2124 2.9915 2.9915
H 2.9915 4.7707 2.9915
H 2.9915 2.9915 4.7707
Pt 2.9915 2.9915 2.9915
CELL_PARAMETERS angstrom
0.0000 2.9915 2.9915
2.9915 0.0000 2.9915
2.9915 2.9915 0.0000
```

Properties
Its final energy is -3.361 eV per atom. Its total moment is 0.000 μB/cell. Its symmetry is Fm-3m.

---

First-principles (PBE) data for BeH2Pt after structural relaxation, as listed in Alexandria. Values from VASP.

Cell and atoms, written as Quantum ESPRESSO input:
```
&SYSTEM
  ibrav = 0, nat = 8, ntyp = 3
/
ATOMIC_SPECIES
Be 9.01 Be.upf
H 1.01 H.upf
Pt 195.08 Pt.upf
ATOMIC_POSITIONS angstrom
Be 0.0000 0.0000 0.0000
Be 0.0000 1.9472 2.1239
H 2.9208 0.7940 -1.0620
H 0.7940 0.9736 1.0620
H -0.9736 1.1533 3.1859
H 1.1533 0.9736 5.3099
Pt 1.9472 0.0000 2.1239
Pt 0.0000 0.0000 4.2479
CELL_PARAMETERS angstrom
-1.9472 1.9472 4.2479
1.9472 -1.9472 4.2479
1.9472 1.9472 -4.2479
```

Properties
The energy above the most stable polymorph in this dataset is 0.00 eV per formula unit. Its final energy is -3.997 eV per atom. Its total moment is 0.000 μB/cell. Its symmetry is I-42d.

---

- What is the final energy in the seventh record?
  -3.361 eV per atom